#1
MoPI2N: relaxed, GGA-PBE.

DOS(E_F)	2.88	states/eV/cell
density	5.902	Mg/m³

a = 5.726 Å, b = 5.726 Å, c = 3.387 Å
α = 90.00°, β = 90.00°, γ = 90.00°
Space group P4/mmm (No. 123)
Unique sites:
Mo  0.000  0.000  0.000 [1 per cell]
P  0.500  0.500  0.500 [1 per cell]
I  0.000  0.500  0.500 [2 per cell]
N  0.500  0.500  0.000 [1 per cell]

=====

#2
MoPI2N: relaxed, GGA-PBE.

DOS(E_F)	3.12	states/eV/cell
density	4.685	Mg/m³

a = 6.537 Å, b = 6.537 Å, c = 3.274 Å
α = 90.00°, β = 90.00°, γ = 90.00°
Space group P4/mmm (No. 123)
Unique sites:
Mo  0.000  0.000  0.000 [1 per cell]
P  0.500  0.500  0.000 [1 per cell]
I  0.000  0.500  0.500 [2 per cell]
N  0.500  0.500  0.500 [1 per cell]

=====

#3
MoPI2N: relaxed, GGA-PBE.

DOS(E_F)	5.33	states/eV/cell
density	5.650	Mg/m³

a = 5.520 Å, b = 5.520 Å, c = 3.807 Å
α = 90.00°, β = 90.00°, γ = 90.00°
Space group P4/mmm (No. 123)
Unique sites:
Mo  0.000  0.000  0.000 [1 per cell]
P  0.500  0.500  0.500 [1 per cell]
I  0.000  0.500  0.000 [2 per cell]
N  0.000  0.000  0.500 [1 per cell]

=====

Which structure above is the least stable one? #2 is the least stable one.